Entry 1:
AlSi2Se | SCAN | single point on PBEsol structure

Cell: 3.348 5.106 4.172 Å, 90.00 90.00 90.00°
Space group Pmm2 (No. 25)
Unique sites:
Al 0.000 0.000 0.000 x1
Si 0.500 0.000 0.491 x1
Si 0.500 0.500 0.544 x1
Se 0.000 0.500 0.985 x1

Output
Its energy above the most stable polymorph in this dataset is 0 meV/atom. The value obtained for the formation energy from raw total energies is 153 meV/atom. For the theoretical density, the calculation gives 3.77 g/cm³. Its calculated volume is 71.3 Å³/f.u.

***

Entry 2:
BaRe2Ag | SCAN | single point on PBEsol structure

Cell: 2.779 2.779 9.890 Å, 90.00 90.00 90.00°
Space group P4/mmm (No. 123)
Unique sites:
Ba 0.000 0.000 0.000 x1
Re 0.500 0.500 0.289 x2
Ag 0.000 0.000 0.500 x1

Output
For the theoretical density, the calculation gives 13.43 g/cm³. The calculated total energy comes out at -207.6 eV per cell. Its calculated volume is 76.4 Å³/f.u.

***

Entry 3:
MnTlFe | SCAN | single point on PBEsol structure

Cell: 3.068 3.068 9.309 Å, 90.00 90.00 90.00°
Space group I4mm (No. 107)
Unique sites:
Mn 0.000 0.000 0.000 x2
Tl 0.000 0.000 0.696 x2
Fe 0.000 0.000 0.387 x2

Output
For the theoretical density, the calculation gives 11.95 g/cm³. The calculated total energy comes out at -215.2 eV per cell. Its calculated volume is 43.8 Å³/f.u.

***

Entry 4:
ZnFe4W | SCAN | single point on PBEsol structure

Cell: 6.549 6.549 6.549 Å, 90.00 90.00 90.00°
Space group F-43m (No. 216)
Unique sites:
Zn 0.000 0.000 0.000 x4
Fe 0.125 0.125 0.375 x16
W 0.250 0.250 0.750 x4

Output
For the theoretical density, the calculation gives 11.18 g/cm³. The calculated total energy comes out at -620.0 eV per cell. Its calculated volume is 70.2 Å³/f.u.

***

Entry 5:
ZnAs2RuI | SCAN | single point on PBEsol structure

Cell: 4.578 4.578 5.250 Å, 90.00 90.00 90.00°
Space group P4/mmm (No. 123)
Unique sites:
Zn 0.000 0.000 0.000 x1
As 0.000 0.500 0.000 x2
Ru 0.500 0.500 0.500 x1
I 0.000 0.000 0.500 x1

Output
Its energy above the most stable polymorph in this dataset is 0 meV/atom. The value obtained for the formation energy from raw total energies is 1316 meV/atom. For the theoretical density, the calculation gives 6.69 g/cm³. Its calculated volume is 110.0 Å³/f.u.

***

Entry 6:
Sr4LaCo5O15 | SCAN | single point on PBEsol structure

Cell: 16.002 5.343 6.538 Å, 90.00 105.74 90.00°
Space group C2/m (No. 12)
Unique sites:
Sr 0.100 0.000 0.400 x4
Sr 0.200 0.500 0.799 x4
La 0.000 0.500 0.000 x2
Co 0.000 0.500 0.500 x2
Co 0.101 0.000 0.900 x4
Co 0.201 0.500 0.302 x4
O 0.000 0.000 0.000 x2
O 0.049 0.254 0.705 x8
O 0.098 0.500 0.394 x4
O 0.146 0.254 0.099 x8
O 0.201 0.000 0.805 x4
O 0.250 0.250 0.500 x4

Output
The value obtained for the formation energy from raw total energies is -2099 meV/atom. For the theoretical density, the calculation gives 6.32 g/cm³. Its calculated volume is 269.0 Å³/f.u.

***

Entry 7:
GeBiN2F | SCAN | single point on PBEsol structure

Cell: 4.291 4.291 4.287 Å, 90.00 90.00 90.00°
Space group P4/mmm (No. 123)
Unique sites:
Ge 0.000 0.000 0.000 x1
Bi 0.500 0.500 0.500 x1
N 0.000 0.500 0.500 x2
F 0.500 0.500 0.000 x1

Output
The value obtained for the formation energy from raw total energies is 860 meV/atom. For the theoretical density, the calculation gives 6.91 g/cm³. Its calculated volume is 79.0 Å³/f.u.

***

Entry 8:
NiP | SCAN | single point on PBEsol structure

Cell: 10.079 5.844 4.896 Å, 90.00 90.00 90.00°
Space group Cmc2_1 (No. 36)
Unique sites:
Ni 0.000 0.056 0.000 x4
Ni 0.146 0.443 0.971 x8
P 0.000 0.311 0.657 x4
P 0.162 0.184 0.306 x8

Output
For the theoretical density, the calculation gives 6.20 g/cm³. The calculated total energy comes out at -329.2 eV per cell. Its calculated volume is 24.0 Å³/f.u.